First-principles (PBE) data for LiPr3Sn12 after structural relaxation, as listed in the Alexandria database.

Computed properties:
DFT formation energy: -415 meV/atom

Lattice parameters (Å, degrees): 4.724 4.724 19.289 90.00 90.00 90.00
Atoms (fractional coordinates):
Sn1 0.500 0.000 0.627
Sn2 0.000 0.500 0.883
Sn3 0.500 0.000 0.373
Pr1 0.000 0.000 0.250
Sn4 0.000 0.500 0.117
Sn5 0.500 0.500 0.243
Sn6 0.500 0.500 0.757
Pr2 0.000 0.000 0.500
Sn7 0.000 0.500 0.373
Sn8 0.000 0.500 0.627
Sn9 0.500 0.000 0.117
Li1 0.000 0.000 0.000
Sn10 0.500 0.500 0.500
Pr3 0.000 0.000 0.750
Sn11 0.500 0.000 0.883
Sn12 0.500 0.500 0.000